# CoSe3 | the Alexandria database | GGA-PBE | relaxed
data_CoSe3
_symmetry_space_group_name_H-M 'P 1'
_symmetry_Int_Tables_number 1
_cell_length_a 4.730
_cell_length_b 4.730
_cell_length_c 3.906
_cell_angle_alpha 90.00
_cell_angle_beta 90.00
_cell_angle_gamma 114.81
loop_
_symmetry_equiv_pos_as_xyz
'x,y,z'
loop_
_atom_site_label
_atom_site_type_symbol
_atom_site_fract_x
_atom_site_fract_y
_atom_site_fract_z
Co1 Co 0.000 0.000 0.000
Se1 Se 0.000 0.500 0.500
Se2 Se 0.500 0.000 0.500
Se3 Se 0.500 0.500 0.000
# D(E_F)	3.38	states/eV/f.u.
# DFT total energy	-3.707	eV/atom
# uncorrected formation energy	683	meV per atom